*w*
An optimized crystal structure of LaTm2, computed with GGA-PBE.

Calculated values
**Size of the total moment**: 0.0 μB/f.u.
**Space-group type**: I4/mmm, No. 139
**Crystal system**: tetragonal

Structure (POSCAR):
```
LaTm2
1.0
-1.530 -3.056 1.083
1.456 -1.718 -2.790
6.153 0.801 5.023
Tm La
2 1
Direct
0.671 0.671 0.341
0.329 0.329 0.659
0.000 0.000 0.000
```

***

*x*
An optimized crystal structure of LaTm2, computed with GGA-PBE.

Calculated values
**Size of the total moment**: 2.9 μB/f.u.
**Space-group type**: Fd-3m, No. 227
**Crystal system**: cubic

Structure (POSCAR):
```
LaTm2
1.0
-0.778 6.649 -0.225
-2.426 2.903 -5.528
-6.150 2.655 0.035
Tm La
4 2
Direct
0.125 0.625 0.625
0.625 0.125 0.625
0.625 0.625 0.625
0.625 0.625 0.125
0.000 0.000 0.000
0.250 0.250 0.250
```

***

*y*
An optimized crystal structure of LaTm2, computed with GGA-PBE.

Calculated values
**Size of the total moment**: 0.0 μB/f.u.
**Space-group type**: I4_122, No. 98
**Crystal system**: tetragonal

Structure (POSCAR):
```
LaTm2
1.0
3.189 0.000 1.302
1.594 8.397 0.651
-1.579 0.000 8.425
La Tm
2 4
Direct
0.000 0.000 0.000
0.750 0.500 0.500
0.875 0.690 0.810
0.315 0.310 0.810
0.375 0.310 0.190
0.435 0.690 0.190
```

***

Most stable to least stable: *w*, *x*, *y*

***

*w*
An optimized crystal structure of La5Tm3, computed with GGA-PBE.

Calculated values
**Size of the total moment**: 0.0 μB/f.u.
**Space-group type**: P4/mmm, No. 123
**Crystal system**: tetragonal

Structure (POSCAR):
```
La5Tm3
1.0
-1.586 3.341 -0.104
-0.038 -0.134 -3.697
-18.157 -8.604 0.500
La Tm
5 3
Direct
0.000 0.000 0.246
0.500 0.500 0.624
0.500 0.500 0.376
0.000 0.000 0.754
0.000 0.000 0.000
0.500 0.500 0.121
0.500 0.500 0.879
0.000 0.000 0.500
```

***

*x*
An optimized crystal structure of La5Tm3, computed with GGA-PBE.

Calculated values
**Size of the total moment**: 0.0 μB/f.u.
**Space-group type**: Pmmm, No. 47
**Crystal system**: orthorhombic

Structure (POSCAR):
```
La5Tm3
1.0
5.071 0.000 0.000
0.000 5.185 0.000
0.000 0.000 10.397
La Tm
5 3
Direct
0.000 0.000 0.000
0.000 0.500 0.254
0.000 0.000 0.500
0.000 0.500 0.746
0.500 0.500 0.000
0.500 0.000 0.254
0.500 0.500 0.500
0.500 0.000 0.746
```

***

Most stable to least stable: *x*, *w*

***

*w*
An optimized crystal structure of LaTm5, computed with GGA-PBE.

Calculated values
**Size of the total moment**: 0.0 μB/f.u.
**Space-group type**: Cmmm, No. 65
**Crystal system**: orthorhombic

Structure (POSCAR):
```
LaTm5
1.0
5.009 0.000 0.000
0.000 4.995 0.000
0.000 -2.498 7.508
Tm La
5 1
Direct
0.500 0.832 0.663
0.000 0.670 0.340
0.500 0.500 0.000
0.000 0.330 0.660
0.500 0.168 0.337
0.000 0.000 0.000
```

***

*x*
An optimized crystal structure of LaTm5, computed with GGA-PBE.

Calculated values
**Size of the total moment**: 0.0 μB/f.u.
**Space-group type**: Amm2, No. 38
**Crystal system**: orthorhombic

Structure (POSCAR):
```
LaTm5
1.0
3.449 0.000 0.000
-1.725 5.708 -1.145
0.000 1.884 9.382
La Tm
1 5
Direct
0.788 0.577 0.889
0.061 0.121 0.073
0.604 0.208 0.389
0.326 0.653 0.561
0.327 0.653 0.216
0.060 0.121 0.704
```

***

Most stable to least stable: *w*, *x*

***

*w*
An optimized crystal structure of La3Tm4, computed with GGA-PBE.

Calculated values
**Size of the total moment**: 0.0 μB/f.u.
**Space-group type**: I4/mmm, No. 139
**Crystal system**: tetragonal

Structure (POSCAR):
```
La3Tm4
1.0
3.575 0.001 0.530
-0.078 3.574 0.530
-0.820 -0.838 17.857
La Tm
3 4
Direct
0.000 0.000 0.000
0.287 0.287 0.425
0.713 0.713 0.575
0.139 0.139 0.722
0.861 0.861 0.278
0.428 0.428 0.145
0.572 0.572 0.855
```

***

*x*
An optimized crystal structure of La3Tm4, computed with GGA-PBE.

Calculated values
**Size of the total moment**: 0.0 μB/f.u.
**Space-group type**: R-3, No. 148
**Crystal system**: trigonal

Structure (POSCAR):
```
La3Tm4
1.0
-6.167 -3.421 -0.556
4.008 -1.047 -8.009
4.362 -4.085 6.752
La Tm
6 8
Direct
0.110 0.600 0.877
0.233 0.123 0.723
0.510 0.277 0.400
0.890 0.400 0.123
0.767 0.877 0.277
0.490 0.723 0.600
0.500 0.000 0.000
0.000 0.000 0.000
0.937 0.691 0.546
0.391 0.454 0.145
0.246 0.855 0.309
0.063 0.309 0.454
0.609 0.546 0.855
0.754 0.145 0.691
```

***

Most stable to least stable: *w*, *x*

***

*w*
An optimized crystal structure of La4Tm, computed with GGA-PBE.

Calculated values
**Size of the total moment**: 0.0 μB/f.u.
**Space-group type**: C2/m, No. 12
**Crystal system**: monoclinic

Structure (POSCAR):
```
La4Tm
1.0
3.642 0.007 0.589
1.775 3.180 0.589
-0.541 -0.318 15.176
La Tm
4 1
Direct
0.200 0.200 0.397
0.800 0.800 0.603
0.603 0.603 0.193
0.397 0.397 0.807
0.000 0.000 0.000
```

***

*x*
An optimized crystal structure of La4Tm, computed with GGA-PBE.

Calculated values
**Size of the total moment**: 0.3 μB/f.u.
**Space-group type**: Pm-3m, No. 221
**Crystal system**: cubic

Structure (POSCAR):
```
La4Tm
1.0
-0.655 4.834 3.386
-5.889 -0.309 -0.699
-0.393 -3.435 4.827
Tm La
1 4
Direct
0.500 0.500 0.500
0.000 0.000 0.000
0.500 0.000 0.500
0.000 0.500 0.500
0.500 0.500 0.000
```

***

Most stable to least stable: *w*, *x*

***

*w*
An optimized crystal structure of LaTm4, computed with GGA-PBE.

Calculated values
**Size of the total moment**: 0.0 μB/f.u.
**Space-group type**: I4/m, No. 87
**Crystal system**: tetragonal

Structure (POSCAR):
```
LaTm4
1.0
-4.362 -2.327 0.911
0.458 -6.098 0.489
-1.302 -0.657 5.959
La Tm
1 4
Direct
0.000 0.000 0.000
0.199 0.203 0.400
0.598 0.600 0.203
0.801 0.797 0.600
0.402 0.400 0.797
```

***

*x*
An optimized crystal structure of LaTm4, computed with GGA-PBE.

Calculated values
**Size of the total moment**: 0.0 μB/f.u.
**Space-group type**: Pm-3m, No. 221
**Crystal system**: cubic

Structure (POSCAR):
```
LaTm4
1.0
5.569 0.000 0.000
0.000 5.569 0.000
0.000 0.000 5.569
Tm La
4 1
Direct
0.000 0.000 0.000
0.500 0.000 0.500
0.000 0.500 0.500
0.500 0.500 0.000
0.500 0.500 0.500
```

***

Most stable to least stable: *w*, *x*

***

*w*
An optimized crystal structure of LaY4Tm5, computed with GGA-PBE.

Calculated values
**Size of the total moment**: 0.0 μB/f.u.
**Space-group type**: P-1, No. 2
**Crystal system**: triclinic

Structure (POSCAR):
```
LaY4Tm5
1.0
-1.210 2.106 2.581
-5.035 -4.161 -1.753
7.365 -9.664 7.752
La Y Tm
1 4 5
Direct
0.500 0.000 0.000
0.416 0.804 0.220
0.821 0.730 0.801
0.584 0.196 0.780
0.179 0.270 0.199
0.957 0.572 0.390
0.242 0.118 0.418
0.758 0.882 0.582
0.500 0.500 0.000
0.043 0.428 0.610
```

***

*x*
An optimized crystal structure of LaY4Tm5, computed with GGA-PBE.

Calculated values
**Size of the total moment**: 0.0 μB/f.u.
**Space-group type**: I4, No. 79
**Crystal system**: tetragonal

Structure (POSCAR):
```
LaY4Tm5
1.0
-5.673 2.115 -1.861
-0.833 0.398 -7.789
-5.320 -5.674 -1.009
La Y Tm
1 4 5
Direct
0.225 0.000 0.000
0.404 0.398 0.703
0.802 0.703 0.602
0.107 0.297 0.398
0.505 0.602 0.297
0.805 0.374 0.910
0.179 0.910 0.626
0.715 0.090 0.374
0.089 0.626 0.090
0.680 0.000 0.000
```

***

Most stable to least stable: *w*, *x*

***

*w*
An optimized crystal structure of LaY2Tm4, computed with GGA-PBE.

Calculated values
**Size of the total moment**: 0.0 μB/f.u.
**Space-group type**: P1, No. 1
**Crystal system**: triclinic

Structure (POSCAR):
```
LaY2Tm4
1.0
6.914 1.168 -1.108
-3.388 6.642 -2.754
1.288 0.418 8.591
La Y Tm
2 4 8
Direct
0.267 0.693 0.462
0.840 0.980 0.895
0.767 0.694 0.463
0.128 0.132 0.608
0.696 0.412 0.035
0.553 0.842 0.179
0.626 0.130 0.607
0.481 0.551 0.751
0.410 0.265 0.319
0.910 0.266 0.321
0.982 0.550 0.751
0.055 0.840 0.178
0.197 0.412 0.036
0.340 0.984 0.894
```

***

*x*
An optimized crystal structure of LaY2Tm4, computed with GGA-PBE.

Calculated values
**Size of the total moment**: 0.0 μB/f.u.
**Space-group type**: P1, No. 1
**Crystal system**: triclinic

Structure (POSCAR):
```
LaY2Tm4
1.0
-7.580 -1.331 4.107
1.657 -9.636 -2.783
3.023 7.092 5.565
La Y Tm
2 4 8
Direct
0.183 0.864 0.862
0.039 0.400 0.135
0.690 0.211 0.725
0.560 0.867 0.105
0.626 0.184 0.065
0.137 0.557 0.929
0.972 0.176 0.282
0.489 0.567 0.156
0.766 0.530 0.693
0.811 0.802 0.611
0.346 0.216 0.512
0.295 0.963 0.608
0.416 0.538 0.485
0.919 0.872 0.334
```

***

Most stable to least stable: *w*, *x*